Entry from Alexandria via LeMat-Bulk: a relaxed structure of PmHoTlCd (PBE).

Cell: 5.386 5.386 5.386 Å, 60.00 60.00 60.00°
Sites, in units of the cell vectors:
Tl 0.250 0.250 0.250
Cd 0.750 0.750 0.750
Ho 0.500 0.500 0.500
Pm 0.000 0.000 0.000

Values from the calculation:
* total magnetic moment: 0.00 Bohr magnetons per cell
* crystal system: cubic
* formation energy: -343 meV per atom
* density of states at the Fermi level: 4.63 states/eV/f.u.